Version a
# KMgC (PBE, optimized geometry)
data_KMgC
_space_group_name_H-M_alt 'C 1 m 1'
_space_group_IT_number 8
_cell_length_a 10.6254
_cell_length_b 5.0107
_cell_length_c 6.7452
_cell_angle_alpha 90.00
_cell_angle_beta 106.67
_cell_angle_gamma 90.00
loop_
_space_group_symop_operation_xyz
'x,y,z'
'x,-y,z'
'x+1/2,y+1/2,z'
'x+1/2,-y+1/2,z'
loop_
_atom_site_label
_atom_site_fract_x
_atom_site_fract_y
_atom_site_fract_z
K1 0.0000 0.0000 0.0000
K2 0.2304 0.0000 0.6724
Mg1 0.2341 0.5000 0.2771
Mg2 0.4567 0.0000 0.3800
C1 0.4298 0.3728 0.5358
# density	1.46	Mg/m³
# spin magnetization	0.002	μB per cell
# DOS at the Fermi energy	0.31	states/eV/atom

---

Version b
# KMgC (PBE, optimized geometry)
data_KMgC
_space_group_name_H-M_alt 'P 1'
_space_group_IT_number 1
_cell_length_a 3.5061
_cell_length_b 6.8271
_cell_length_c 7.4358
_cell_angle_alpha 75.34
_cell_angle_beta 76.44
_cell_angle_gamma 89.97
loop_
_space_group_symop_operation_xyz
'x,y,z'
loop_
_atom_site_label
_atom_site_fract_x
_atom_site_fract_y
_atom_site_fract_z
K1 0.0000 0.0000 0.0000
K2 0.3211 0.4342 0.3510
Mg1 0.2278 0.9041 0.5472
Mg2 0.6072 0.5232 0.7847
C1 0.6557 0.2466 0.6872
C2 0.6897 0.0902 0.6232
# density	1.50	Mg/m³
# spin magnetization	0.001	μB per cell
# DOS at the Fermi energy	0.41	states/eV/atom

---

Name the least stable of them. version b.

---

Version a
# KMg3C (PBE, optimized geometry)
data_KMg3C
_space_group_name_H-M_alt 'P m -3 m'
_space_group_IT_number 221
_space_group_name_Hall '-P 4 2 3'
_cell_length_a 6.8561
_cell_length_b 6.8561
_cell_length_c 6.8561
_cell_angle_alpha 90.00
_cell_angle_beta 90.00
_cell_angle_gamma 90.00
loop_
_atom_site_label
_atom_site_fract_x
_atom_site_fract_y
_atom_site_fract_z
K1 0.0000 0.0000 0.0000
Mg1 0.0000 0.0000 0.5000
C1 0.5000 0.5000 0.5000
# density	0.64	Mg/m³
# spin magnetization	2.856	μB per cell
# DOS at the Fermi energy	3.79	states/eV/atom

---

Version b
# KMg3C (PBE, optimized geometry)
data_KMg3C
_space_group_name_H-M_alt 'P m -3 m'
_space_group_IT_number 221
_space_group_name_Hall '-P 4 2 3'
_cell_length_a 4.7962
_cell_length_b 4.7962
_cell_length_c 4.7962
_cell_angle_alpha 90.00
_cell_angle_beta 90.00
_cell_angle_gamma 90.00
loop_
_atom_site_label
_atom_site_fract_x
_atom_site_fract_y
_atom_site_fract_z
K1 0.0000 0.0000 0.0000
Mg1 0.0000 0.5000 0.5000
C1 0.5000 0.5000 0.5000
# density	1.87	Mg/m³
# spin magnetization	0.000	μB per cell
# DOS at the Fermi energy	0.77	states/eV/atom

---

Name the least stable of them. version a.

---

Version a
# KMnC2 (PBE, optimized geometry)
data_KMnC2
_space_group_name_H-M_alt 'F m -3 m'
_space_group_IT_number 225
_space_group_name_Hall '-F 4 2 3'
_cell_length_a 5.7452
_cell_length_b 5.7452
_cell_length_c 5.7452
_cell_angle_alpha 90.00
_cell_angle_beta 90.00
_cell_angle_gamma 90.00
loop_
_atom_site_label
_atom_site_fract_x
_atom_site_fract_y
_atom_site_fract_z
K1 0.0000 0.0000 0.0000
Mn1 0.0000 0.0000 0.5000
C1 0.2500 0.2500 0.2500
# density	4.14	Mg/m³
# spin magnetization	0.000	μB per cell
# DOS at the Fermi energy	1.46	states/eV/atom

---

Version b
# KMnC2 (PBE, optimized geometry)
data_KMnC2
_space_group_name_H-M_alt 'I 41/a m d'
_space_group_IT_number 141
_cell_length_a 5.7707
_cell_length_b 5.7707
_cell_length_c 8.1863
_cell_angle_alpha 90.00
_cell_angle_beta 90.00
_cell_angle_gamma 90.00
loop_
_space_group_symop_operation_xyz
'x,y,z'
'-x,-y,-z'
'-y+1/4,x+3/4,z+1/4'
'y+1/4,-x+3/4,-z+1/4'
'-x+1/2,-y,z+1/2'
'x+1/2,y,-z+1/2'
'y+1/4,-x+1/4,z+3/4'
'-y+1/4,x+1/4,-z+3/4'
'x,-y,-z'
'-x,y,z'
'-y+1/4,-x+1/4,-z+3/4'
'y+1/4,x+1/4,z+3/4'
'-x+1/2,y,-z+1/2'
'x+1/2,-y,z+1/2'
'y+1/4,x+3/4,-z+1/4'
'-y+1/4,-x+3/4,z+1/4'
'x+1/2,y+1/2,z+1/2'
'-x+1/2,-y+1/2,-z+1/2'
'-y+3/4,x+1/4,z+3/4'
'y+3/4,-x+1/4,-z+3/4'
'-x,-y+1/2,z'
'x,y+1/2,-z'
'y+3/4,-x+3/4,z+1/4'
'-y+3/4,x+3/4,-z+1/4'
'x+1/2,-y+1/2,-z+1/2'
'-x+1/2,y+1/2,z+1/2'
'-y+3/4,-x+3/4,-z+1/4'
'y+3/4,x+3/4,z+1/4'
'-x,y+1/2,-z'
'x,-y+1/2,z'
'y+3/4,x+1/4,-z+3/4'
'-y+3/4,-x+1/4,z+3/4'
loop_
_atom_site_label
_atom_site_fract_x
_atom_site_fract_y
_atom_site_fract_z
K1 0.0000 0.2500 0.3750
Mn1 0.0000 0.2500 0.8750
C1 0.0000 0.0000 0.0000
# density	2.88	Mg/m³
# spin magnetization	0.000	μB per cell
# DOS at the Fermi energy	0.38	states/eV/atom

---

Name the least stable of them. version a.

---

Version a
# K2CN2 (PBE, optimized geometry)
data_K2CN2
_space_group_name_H-M_alt 'C 1 2/m 1'
_space_group_IT_number 12
_cell_length_a 5.8249
_cell_length_b 5.7618
_cell_length_c 5.9034
_cell_angle_alpha 90.00
_cell_angle_beta 109.44
_cell_angle_gamma 90.00
loop_
_space_group_symop_operation_xyz
'x,y,z'
'-x,-y,-z'
'-x,y,-z'
'x,-y,z'
'x+1/2,y+1/2,z'
'-x+1/2,-y+1/2,-z'
'-x+1/2,y+1/2,-z'
'x+1/2,-y+1/2,z'
loop_
_atom_site_label
_atom_site_fract_x
_atom_site_fract_y
_atom_site_fract_z
K1 0.1766 0.0000 0.2908
C1 0.0000 0.5000 0.0000
N1 0.1542 0.5000 0.2056
# density	2.10	Mg/m³
# spin magnetization	0.000	μB per cell
# DOS at the Fermi energy	0.00	states/eV/atom

---

Version b
# K2CN2 (PBE, optimized geometry)
data_K2CN2
_space_group_name_H-M_alt 'C 1 2/m 1'
_space_group_IT_number 12
_cell_length_a 11.5277
_cell_length_b 5.3192
_cell_length_c 8.2937
_cell_angle_alpha 90.00
_cell_angle_beta 132.09
_cell_angle_gamma 90.00
loop_
_space_group_symop_operation_xyz
'x,y,z'
'-x,-y,-z'
'-x,y,-z'
'x,-y,z'
'x+1/2,y+1/2,z'
'-x+1/2,-y+1/2,-z'
'-x+1/2,y+1/2,-z'
'x+1/2,-y+1/2,z'
loop_
_atom_site_label
_atom_site_fract_x
_atom_site_fract_y
_atom_site_fract_z
K1 0.1282 0.0000 0.3216
K2 0.2206 0.5000 0.1386
C1 0.0248 0.5000 0.4068
N1 0.0604 0.5000 0.2888
N2 0.1219 0.5000 0.6443
# density	2.08	Mg/m³
# spin magnetization	0.000	μB per cell

---

Name the least stable of them. version b.

---

Version a
# KC2N (PBE, optimized geometry)
data_KC2N
_space_group_name_H-M_alt 'F m -3 m'
_space_group_IT_number 225
_space_group_name_Hall '-F 4 2 3'
_cell_length_a 5.8818
_cell_length_b 5.8818
_cell_length_c 5.8818
_cell_angle_alpha 90.00
_cell_angle_beta 90.00
_cell_angle_gamma 90.00
loop_
_atom_site_label
_atom_site_fract_x
_atom_site_fract_y
_atom_site_fract_z
K1 0.0000 0.0000 0.0000
C1 0.2500 0.2500 0.2500
N1 0.0000 0.0000 0.5000
# density	2.52	Mg/m³
# spin magnetization	0.000	μB per cell
# DOS at the Fermi energy	0.64	states/eV/atom

---

Version b
# KC2N (PBE, optimized geometry)
data_KC2N
_space_group_name_H-M_alt 'I -4 2 d'
_space_group_IT_number 122
_space_group_name_Hall 'I -4 2bw'
_cell_length_a 5.2892
_cell_length_b 5.2892
_cell_length_c 6.9576
_cell_angle_alpha 90.00
_cell_angle_beta 90.00
_cell_angle_gamma 90.00
loop_
_atom_site_label
_atom_site_fract_x
_atom_site_fract_y
_atom_site_fract_z
K1 0.0000 0.0000 0.0000
C1 0.0931 0.2500 0.6250
N1 0.0000 0.0000 0.5000
# density	2.63	Mg/m³
# spin magnetization	0.000	μB per cell
# DOS at the Fermi energy	0.41	states/eV/atom

---

Name the least stable of them. version a.

---

Version a
# KCSe2N (PBE, optimized geometry)
data_KCSe2N
_space_group_name_H-M_alt 'P 4/m m m'
_space_group_IT_number 123
_space_group_name_Hall '-P 4 2'
_cell_length_a 5.9425
_cell_length_b 5.9425
_cell_length_c 4.8697
_cell_angle_alpha 90.00
_cell_angle_beta 90.00
_cell_angle_gamma 90.00
loop_
_atom_site_label
_atom_site_fract_x
_atom_site_fract_y
_atom_site_fract_z
K1 0.0000 0.0000 0.0000
C1 0.5000 0.5000 0.5000
Se1 0.0000 0.5000 0.0000
N1 0.0000 0.0000 0.5000
# density	2.15	Mg/m³
# spin magnetization	1.872	μB per cell
# DOS at the Fermi energy	2.56	states/eV/atom

---

Version b
# KCSe2N (PBE, optimized geometry)
data_KCSe2N
_space_group_name_H-M_alt 'P 4/m m m'
_space_group_IT_number 123
_space_group_name_Hall '-P 4 2'
_cell_length_a 6.3457
_cell_length_b 6.3457
_cell_length_c 2.5301
_cell_angle_alpha 90.00
_cell_angle_beta 90.00
_cell_angle_gamma 90.00
loop_
_atom_site_label
_atom_site_fract_x
_atom_site_fract_y
_atom_site_fract_z
K1 0.0000 0.0000 0.0000
C1 0.5000 0.5000 0.5000
Se1 0.0000 0.5000 0.5000
N1 0.5000 0.5000 0.0000
# density	3.64	Mg/m³
# spin magnetization	0.000	μB per cell
# DOS at the Fermi energy	0.18	states/eV/atom

---

Name the least stable of them. version a.